Compound: PuTiV2
Source: Alexandria
Functional: PBE
Structure: relaxed

Summary:
spin magnetization = 0.8003 μB/atom
distance to the lowest polymorph of the same formula = 0.0000 eV per atom
SG = No. 225
ΔE_f = 0.157 eV per atom
density of states at the Fermi level = 8.98 states/eV/f.u.

a = 6.3645 Å, b = 6.3645 Å, c = 6.3645 Å
α = 90.00°, β = 90.00°, γ = 90.00°
Last column: nearest neighbours and their distance in Å.
Sites, in units of the cell vectors:
Pu (0.0000, 0.0000, 0.0000)  8 V 2.76
Pu (0.0000, 0.5000, 0.5000)  8 V 2.76
Pu (0.5000, 0.0000, 0.5000)  8 V 2.76
Pu (0.5000, 0.5000, 0.0000)  8 V 2.76
Ti (0.0000, 0.0000, 0.5000)  8 V 2.76
Ti (0.0000, 0.5000, 0.0000)  8 V 2.76
Ti (0.5000, 0.0000, 0.0000)  8 V 2.76
Ti (0.5000, 0.5000, 0.5000)  8 V 2.76
V (0.2500, 0.2500, 0.2500)  4 Pu 2.76, 4 Ti 2.76
V (0.2500, 0.2500, 0.7500)  4 Pu 2.76, 4 Ti 2.76
V (0.2500, 0.7500, 0.2500)  4 Pu 2.76, 4 Ti 2.76
V (0.2500, 0.7500, 0.7500)  4 Ti 2.76, 4 Pu 2.76
V (0.7500, 0.2500, 0.2500)  4 Pu 2.76, 4 Ti 2.76
V (0.7500, 0.2500, 0.7500)  4 Ti 2.76, 4 Pu 2.76
V (0.7500, 0.7500, 0.2500)  4 Ti 2.76, 4 Pu 2.76
V (0.7500, 0.7500, 0.7500)  4 Pu 2.76, 4 Ti 2.76